Crystalline TlIN3 at its relaxed geometry. Source: Alexandria, functional PBE.

The value obtained for the total energy is -3.138 eV/atom. Its density of states at the Fermi level is 1.14 states/eV/atom. The formation energy (no corrections) comes out at 13.204 eV per formula unit.

It has space group Pm-3m (No. 221), with a = 4.350 Å, b = 4.350 Å, c = 4.350 Å, α = 90.00°, β = 90.00° and γ = 90.00°. The inequivalent atoms are Tl at (0.000, 0.000, 0.000), I at (0.500, 0.500, 0.500) and N at (0.000, 0.000, 0.500).


Crystalline Ca2YHg at its relaxed geometry. Source: Alexandria, functional PBE.

The value obtained for the total energy is -2.823 eV/atom. Its density of states at the Fermi level is 1.09 states/eV/atom. The value obtained for the formation energy is -0.131 eV/atom.

It has space group R3m (No. 160, hexagonal axes), with a = 3.7959 Å, b = 3.7959 Å, c = 32.1650 Å, α = 90.00°, β = 90.00° and γ = 120.00°. The inequivalent atoms are Ca at (0.0000, 0.0000, 0.0000), Ca at (0.0000, 0.0000, 0.1876), Y at (0.0000, 0.0000, 0.4280) and Hg at (0.0000, 0.0000, 0.5935).


Crystalline Nd2Er2Tm2Mg at its relaxed geometry. Source: Alexandria, functional PBE.

The value obtained for the total energy is -4.078 eV/atom. Its density of states at the Fermi level is 1.19 states/eV/atom. The value obtained for the formation energy is 0.093 eV/atom.

It has space group C2/m (No. 12), with a = 12.088 Å, b = 3.627 Å, c = 11.533 Å, α = 90.00°, β = 118.84° and γ = 90.00°. The inequivalent atoms are Nd at (0.027, 0.000, 0.245), Er at (0.181, 0.000, 0.588), Tm at (0.246, 0.000, 0.127) and Mg at (0.000, 0.500, 0.000).


Crystalline Na2In5Sn at its relaxed geometry. Source: Alexandria, functional PBE.

As for the energy above the lowest structure with this stoichiometry: 225 meV/atom. The value obtained for the total energy is -2.406 eV/atom. Its density of states at the Fermi level is 0.47 states/eV/atom. The value obtained for the formation energy is 0.136 eV/atom.

It has space group P4/mmm (No. 123), with a = 7.111 Å, b = 7.111 Å, c = 5.638 Å, α = 90.00°, β = 90.00° and γ = 90.00°. The inequivalent atoms are Na at (0.000, 0.500, 0.000), In at (0.000, 0.000, 0.000), In at (0.292, 0.292, 0.500) and Sn at (0.000, 0.000, 0.500).